PBE MnSi2BRu, relaxed; total magnetic moment = 0.000 μB per atom; formation energy from raw total energies = 1592 meV/atom; SG = P4/mmm (123)
1.0
4.494 0.000 0.000
0.000 4.540 0.000
0.000 0.000 4.494
Mn B Ru Si
1 1 1 2
Direct
0.000 0.500 0.000
0.500 0.500 0.500
0.000 0.000 0.000
0.000 0.000 0.500
0.500 0.000 0.000